(1)
Below is CeAlS3 after structural relaxation, with properties calculated at the PBE-GGA level.

Its theoretical density is 3.9 g/cm³. The total magnetization is 3.93 μB per cell. The calculation puts the uncorrected formation energy at -1473 meV per atom.

The space group is C2/m (No. 12) and the conventional cell measures 14.789, 3.952 and 7.704 Å, with angles of 90.00, 96.20 and 90.00 degrees. The asymmetric unit holds Ce at (0.180, 0.000, 0.206), Al at (0.096, 0.500, 0.643), S at (0.057, 0.500, 0.333), S at (0.148, 0.500, 0.946) and S at (0.184, 0.000, 0.606).

(2)
Below is HoPuAgPb after structural relaxation, with properties calculated at the PBE-GGA level.

Its energy of formation from the pure elements is -0.19 eV/atom. Its theoretical density is 11.4 g/cm³. The total magnetization is 24.89 μB per cell.

The space group is F-43m (No. 216) and the conventional cell measures 7.510, 7.510 and 7.510 Å, with angles of 90.00, 90.00 and 90.00 degrees. The asymmetric unit holds Ho at (0.000, 0.000, 0.000), Pu at (0.000, 0.000, 0.500), Ag at (0.250, 0.250, 0.250) and Pb at (0.250, 0.250, 0.750).

(3)
Below is CuSnB2Rh after structural relaxation, with properties calculated at the PBE-GGA level.

Its energy of formation from the pure elements is 0.90 eV/atom. Its theoretical density is 6.8 g/cm³. The total magnetization is 0.00 μB per cell.

The space group is P4/mmm (No. 123) and the conventional cell measures 3.782, 3.782 and 5.233 Å, with angles of 90.00, 90.00 and 90.00 degrees. The asymmetric unit holds Cu at (0.000, 0.000, 0.000), Sn at (0.500, 0.500, 0.500), B at (0.000, 0.500, 0.000) and Rh at (0.000, 0.000, 0.500).

(4)
Below is CsNbSCl2 after structural relaxation, with properties calculated at the PBE-GGA level.

Its theoretical density is 4.1 g/cm³. The total magnetization is 1.79 μB per cell. The calculation puts the uncorrected formation energy at -1177 meV per atom.

The space group is P4/mmm (No. 123) and the conventional cell measures 5.270, 5.270 and 4.836 Å, with angles of 90.00, 90.00 and 90.00 degrees. The asymmetric unit holds Cs at (0.000, 0.000, 0.000), Nb at (0.500, 0.500, 0.500), S at (0.500, 0.500, 0.000) and Cl at (0.000, 0.500, 0.500).

(5)
Below is Cr3TcSe after structural relaxation, with properties calculated at the PBE-GGA level.

Its theoretical density is 7.1 g/cm³. The total magnetization is 0.00 μB per cell. The calculation puts the uncorrected formation energy at 1240 meV per atom.

The space group is Pm-3m (No. 221) and the conventional cell measures 4.276, 4.276 and 4.276 Å, with angles of 90.00, 90.00 and 90.00 degrees. The asymmetric unit holds Cr at (0.000, 0.000, 0.500), Tc at (0.500, 0.500, 0.500) and Se at (0.000, 0.000, 0.000).

(6)
Below is YTlZn2 after structural relaxation, with properties calculated at the PBE-GGA level.

Its energy of formation from the pure elements is -0.14 eV/atom. Its theoretical density is 8.2 g/cm³. The total magnetization is 0.00 μB per cell.

The space group is Fm-3m (No. 225) and the conventional cell measures 7.004, 7.004 and 7.004 Å, with angles of 90.00, 90.00 and 90.00 degrees. The asymmetric unit holds Y at (0.000, 0.000, 0.000), Tl at (0.000, 0.000, 0.500) and Zn at (0.250, 0.250, 0.250).

(7)
Below is LuPaOs2 after structural relaxation, with properties calculated at the PBE-GGA level.

Its energy of formation from the pure elements is -0.30 eV/atom. Its theoretical density is 16.5 g/cm³. The total magnetization is 0.00 μB per cell.

The space group is Fm-3m (No. 225) and the conventional cell measures 6.814, 6.814 and 6.814 Å, with angles of 90.00, 90.00 and 90.00 degrees. The asymmetric unit holds Lu at (0.000, 0.000, 0.000), Pa at (0.000, 0.000, 0.500) and Os at (0.250, 0.250, 0.250).

(8)
Below is Sm6Y3Tm2Mg after structural relaxation, with properties calculated at the PBE-GGA level.

Its energy of formation from the pure elements is 0.03 eV/atom. Its theoretical density is 6.6 g/cm³. The total magnetization is 0.00 μB per cell.

The space group is C2/m (No. 12) and the conventional cell measures 6.196, 10.739 and 11.705 Å, with angles of 90.00, 100.22 and 90.00 degrees. The asymmetric unit holds Sm at (0.248, 0.000, 0.247), Sm at (0.248, 0.333, 0.246), Y at (0.000, 0.000, 0.500), Y at (0.000, 0.334, 0.500), Tm at (0.000, 0.166, 0.000) and Mg at (0.000, 0.500, 0.000).

(9)
Below is CdB3O after structural relaxation, with properties calculated at the PBE-GGA level.

Its theoretical density is 4.9 g/cm³. The total magnetization is 0.00 μB per cell. The calculation puts the uncorrected formation energy at 1743 meV per atom.

The space group is Pm-3m (No. 221) and the conventional cell measures 3.780, 3.780 and 3.780 Å, with angles of 90.00, 90.00 and 90.00 degrees. The asymmetric unit holds Cd at (0.000, 0.000, 0.000), B at (0.000, 0.500, 0.500) and O at (0.500, 0.500, 0.500).

(10)
Below is CeAl2Ga2 after structural relaxation, with properties calculated at the PBE-GGA level.

Its energy of formation from the pure elements is -0.34 eV/atom. Its theoretical density is 5.4 g/cm³. The total magnetization is 1.92 μB per cell.

The space group is I4/mmm (No. 139) and the conventional cell measures 4.462, 4.462 and 10.273 Å, with angles of 90.00, 90.00 and 90.00 degrees. The asymmetric unit holds Ce at (0.000, 0.000, 0.000), Al at (0.000, 0.000, 0.378) and Ga at (0.000, 0.500, 0.250).

(11)
Below is NiHgSe2 after structural relaxation, with properties calculated at the PBE-GGA level.

Its theoretical density is 8.7 g/cm³. The total magnetization is 1.82 μB per cell. The calculation puts the uncorrected formation energy at 432 meV per atom.

The space group is Cmmm (No. 65) and the conventional cell measures 5.465, 7.669 and 3.784 Å, with angles of 90.00, 90.00 and 90.00 degrees. The asymmetric unit holds Ni at (0.000, 0.000, 0.000), Hg at (0.000, 0.500, 0.000) and Se at (0.250, 0.250, 0.500).

(12)
Below is Te2Pb after structural relaxation, with properties calculated at the PBE-GGA level.

Its theoretical density is 7.3 g/cm³. The total magnetization is 0.00 μB per cell. The calculation puts the uncorrected formation energy at -110 meV per atom.

The space group is C2/m (No. 12) and the conventional cell measures 12.403, 3.777 and 9.152 Å, with angles of 90.00, 102.81 and 90.00 degrees. The asymmetric unit holds Te at (0.110, 0.000, 0.060), Te at (0.151, 0.000, 0.647) and Pb at (0.095, 0.500, 0.353).

(13)
Below is BeAs2Ru after structural relaxation, with properties calculated at the PBE-GGA level.

Its energy of formation from the pure elements is 0.38 eV/atom. Its theoretical density is 7.2 g/cm³. The total magnetization is 0.00 μB per cell.

The space group is Cmmm (No. 65) and the conventional cell measures 3.179, 5.045 and 7.469 Å, with angles of 90.00, 90.00 and 90.00 degrees. The asymmetric unit holds Be at (0.000, 0.000, 0.000), As at (0.000, 0.500, 0.238) and Ru at (0.000, 0.000, 0.500).

(14)
Below is MoRu after structural relaxation, with properties calculated at the PBE-GGA level.

Its energy of formation from the pure elements is 0.88 eV/atom. Its theoretical density is 9.8 g/cm³. The total magnetization is 0.00 μB per cell.

The space group is Fm-3m (No. 225) and the conventional cell measures 5.115, 5.115 and 5.115 Å, with angles of 90.00, 90.00 and 90.00 degrees. The asymmetric unit holds Mo at (0.000, 0.000, 0.000) and Ru at (0.000, 0.000, 0.500).

(15)
Below is BaRhN2F after structural relaxation, with properties calculated at the PBE-GGA level.

Its theoretical density is 5.8 g/cm³. The total magnetization is 0.15 μB per cell. The calculation puts the uncorrected formation energy at -589 meV per atom.

The space group is P4/mmm (No. 123) and the conventional cell measures 3.831, 3.831 and 5.601 Å, with angles of 90.00, 90.00 and 90.00 degrees. The asymmetric unit holds Ba at (0.000, 0.000, 0.000), Rh at (0.500, 0.500, 0.500), N at (0.000, 0.500, 0.500) and F at (0.500, 0.500, 0.000).

(16)
Below is LiZrBr2 after structural relaxation, with properties calculated at the PBE-GGA level.

Its theoretical density is 5.3 g/cm³. The total magnetization is 4.02 μB per cell. The calculation puts the uncorrected formation energy at -457 meV per atom.

The space group is Fm-3m (No. 225) and the conventional cell measures 6.862, 6.862 and 6.862 Å, with angles of 90.00, 90.00 and 90.00 degrees. The asymmetric unit holds Li at (0.000, 0.000, 0.000), Zr at (0.000, 0.000, 0.500) and Br at (0.250, 0.250, 0.250).

(17)
Below is BaBiI6 after structural relaxation, with properties calculated at the PBE-GGA level.

Its theoretical density is 4.7 g/cm³. The total magnetization is 0.46 μB per cell. The calculation puts the uncorrected formation energy at -750 meV per atom.

The space group is P-1 (No. 2) and the conventional cell measures 8.153, 8.153 and 8.240 Å, with angles of 60.40, 89.98 and 60.04 degrees. The asymmetric unit holds Ba at (0.000, 0.000, 0.000), Bi at (0.500, 0.000, 0.500), I at (0.076, 0.460, 0.252), I at (0.287, 0.788, 0.748) and I at (0.464, 0.824, 0.251).

(18)
Below is La2InAs after structural relaxation, with properties calculated at the PBE-GGA level.

Its energy of formation from the pure elements is -0.73 eV/atom. Its theoretical density is 6.9 g/cm³. The total magnetization is 0.00 μB per cell.

The space group is I4/mmm (No. 139) and the conventional cell measures 5.054, 5.054 and 8.757 Å, with angles of 90.00, 90.00 and 90.00 degrees. The asymmetric unit holds La at (0.000, 0.500, 0.250), In at (0.000, 0.000, 0.000) and As at (0.000, 0.000, 0.500).

(19)
Below is TlWSeBr2 after structural relaxation, with properties calculated at the PBE-GGA level.

Its theoretical density is 7.3 g/cm³. The total magnetization is 1.68 μB per cell. The calculation puts the uncorrected formation energy at -20 meV per atom.

The space group is P4/mmm (No. 123) and the conventional cell measures 5.393, 5.393 and 4.871 Å, with angles of 90.00, 90.00 and 90.00 degrees. The asymmetric unit holds Tl at (0.000, 0.000, 0.000), W at (0.500, 0.500, 0.500), Se at (0.500, 0.500, 0.000) and Br at (0.000, 0.500, 0.500).

(20)
Below is YCu2Ir after structural relaxation, with properties calculated at the PBE-GGA level.

Its energy of formation from the pure elements is -0.14 eV/atom. Its theoretical density is 10.1 g/cm³. The total magnetization is 0.00 μB per cell.

The space group is F-43m (No. 216) and the conventional cell measures 6.455, 6.455 and 6.455 Å, with angles of 90.00, 90.00 and 90.00 degrees. The asymmetric unit holds Y at (0.000, 0.000, 0.000), Cu at (0.000, 0.000, 0.500), Cu at (0.250, 0.250, 0.250) and Ir at (0.250, 0.250, 0.750).

(21)
Below is SrZr2Rh after structural relaxation, with properties calculated at the PBE-GGA level.

Its energy of formation from the pure elements is -0.07 eV/atom. Its theoretical density is 6.3 g/cm³. The total magnetization is 0.00 μB per cell.

The space group is C2/m (No. 12) and the conventional cell measures 11.831, 3.322 and 5.425 Å, with angles of 90.00, 113.59 and 90.00 degrees. The asymmetric unit holds Sr at (0.000, 0.000, 0.000), Zr at (0.201, 0.000, 0.686) and Rh at (0.000, 0.500, 0.500).

(22)
Below is MgNi2Te2 after structural relaxation, with properties calculated at the PBE-GGA level.

Its theoretical density is 6.8 g/cm³. The total magnetization is 0.00 μB per cell. The calculation puts the uncorrected formation energy at 59 meV per atom.

The space group is P4/mbm (No. 127) and the conventional cell measures 7.484, 7.484 and 3.477 Å, with angles of 90.00, 90.00 and 90.00 degrees. The asymmetric unit holds Mg at (0.000, 0.000, 0.000), Ni at (0.120, 0.380, 0.500) and Te at (0.167, 0.667, 0.000).

(23)
Below is Ti5CrCo4 after structural relaxation, with properties calculated at the PBE-GGA level.

Its energy of formation from the pure elements is -0.33 eV/atom. Its theoretical density is 6.6 g/cm³. The total magnetization is 0.00 μB per cell.

The space group is P4/mmm (No. 123) and the conventional cell measures 3.004, 3.004 and 14.653 Å, with angles of 90.00, 90.00 and 90.00 degrees. The asymmetric unit holds Ti at (0.000, 0.000, 0.000), Ti at (0.000, 0.000, 0.199), Ti at (0.000, 0.000, 0.400), Cr at (0.500, 0.500, 0.500), Co at (0.500, 0.500, 0.098) and Co at (0.500, 0.500, 0.293).

(24)
Below is Ho2Ga5Cu after structural relaxation, with properties calculated at the PBE-GGA level.

Its energy of formation from the pure elements is -0.46 eV/atom. Its theoretical density is 8.1 g/cm³. The total magnetization is 0.00 μB per cell.

The space group is I4mm (No. 107) and the conventional cell measures 5.931, 5.931 and 8.635 Å, with angles of 90.00, 90.00 and 90.00 degrees. The asymmetric unit holds Ho at (0.000, 0.500, 0.000), Ga at (0.000, 0.000, 0.027), Ga at (0.235, 0.235, 0.751) and Cu at (0.000, 0.000, 0.411).

(25)
Below is Cu2SnAu after structural relaxation, with properties calculated at the PBE-GGA level.

Its energy of formation from the pure elements is 0.02 eV/atom. Its theoretical density is 11.1 g/cm³. The total magnetization is 0.00 μB per cell.

The space group is P4/mmm (No. 123) and the conventional cell measures 3.367, 3.367 and 5.851 Å, with angles of 90.00, 90.00 and 90.00 degrees. The asymmetric unit holds Cu at (0.000, 0.000, 0.233), Sn at (0.500, 0.500, 0.500) and Au at (0.500, 0.500, 0.000).

(26)
Below is La4CeAu5 after structural relaxation, with properties calculated at the PBE-GGA level.

Its energy of formation from the pure elements is -0.74 eV/atom. Its theoretical density is 10.4 g/cm³. The total magnetization is 1.04 μB per cell.

The space group is P4/mmm (No. 123) and the conventional cell measures 3.748, 3.748 and 19.031 Å, with angles of 90.00, 90.00 and 90.00 degrees. The asymmetric unit holds La at (0.000, 0.000, 0.101), La at (0.000, 0.000, 0.303), Ce at (0.000, 0.000, 0.500), Au at (0.500, 0.500, 0.000), Au at (0.500, 0.500, 0.201) and Au at (0.500, 0.500, 0.405).

(27)
Below is U3Tl2Te8 after structural relaxation, with properties calculated at the PBE-GGA level.

Its theoretical density is 7.8 g/cm³. The total magnetization is 8.92 μB per cell. The calculation puts the uncorrected formation energy at -465 meV per atom.

The space group is Cmmm (No. 65) and the conventional cell measures 10.501, 16.576 and 5.268 Å, with angles of 90.00, 90.00 and 90.00 degrees. The asymmetric unit holds U at (0.000, 0.000, 0.000), U at (0.226, 0.500, 0.500), Tl at (0.000, 0.257, 0.000), Te at (0.000, 0.102, 0.500), Te at (0.000, 0.385, 0.500) and Te at (0.242, 0.106, 0.000).